[1]
An optimized crystal structure of FeOsSCl2. Source: the Alexandria database, functional PBE-GGA.

Cell: 4.9526 4.9526 4.4202 Å, 90.00 90.00 90.00°
With the nearest neighbours (Å) after each atom.
Space group P4/mmm (No. 123)
Symmetry-distinct sites (fractional):
Fe1 0.0000 0.0000 0.0000 [1 per cell]  8 Cl 3.32, 4 S 3.50
Os1 0.5000 0.5000 0.5000 [1 per cell]  2 S 2.21
S1 0.5000 0.5000 0.0000 [1 per cell]  2 Os 2.21
Cl1 0.0000 0.5000 0.5000 [2 per cell]  2 Os 2.48

Calculated values
Energy above the lowest structure with this stoichiometry in eV/f.u.: 0.00
E_form (uncorrected) in eV/atom: 0.713
Fermi-level density of states in states/eV/atom: 1.37

[2]
An optimized crystal structure of PrGa2Co. Source: the Alexandria database, functional PBE-GGA.

Cell: 4.1113 4.1113 16.0652 Å, 90.00 90.00 120.00°
With the nearest neighbours (Å) after each atom.
Space group R-3m (No. 166, hexagonal axes)
Symmetry-distinct sites (fractional):
Pr1 0.0000 0.0000 0.0000 [3 per cell]  8 Ga 3.11-3.34
Ga1 0.0000 0.0000 0.2082 [6 per cell]  3 Co 2.47, 3 Ga 2.72
Co1 0.0000 0.0000 0.5000 [3 per cell]  6 Ga 2.47

Calculated values
Calculated formation energy in meV per atom: -447
Fermi-level density of states in states/eV/atom: 0.95

[3]
An optimized crystal structure of PrZr2Cr. Source: the Alexandria database, functional PBE-GGA.

Cell: 3.2421 3.2421 30.9959 Å, 90.00 90.00 120.00°
With the nearest neighbours (Å) after each atom.
Space group R-3m (No. 166, hexagonal axes)
Symmetry-distinct sites (fractional):
Pr1 0.0000 0.0000 0.0000 [3 per cell]  6 Pr 3.24, 2 Zr 3.26
Zr1 0.0000 0.0000 0.1051 [6 per cell]  3 Cr 2.67
Cr1 0.0000 0.0000 0.5000 [3 per cell]  6 Zr 2.67

Calculated values
Calculated formation energy in meV per atom: 468
Fermi-level density of states in states/eV/atom: 1.51

[4]
An optimized crystal structure of MgBeIn2. Source: the Alexandria database, functional PBE-GGA.

Cell: 6.9122 6.9122 6.9122 Å, 90.00 90.00 90.00°
With the nearest neighbours (Å) after each atom.
Space group Fm-3m (No. 225)
Symmetry-distinct sites (fractional):
Mg1 0.0000 0.0000 0.0000 [4 per cell]  8 In 2.99
Be1 0.0000 0.0000 0.5000 [4 per cell]  8 In 2.99
In1 0.2500 0.2500 0.2500 [8 per cell]  4 Be 2.99, 4 Mg 2.99

Calculated values
Calculated formation energy in meV per atom: 355
Energy above the lowest structure with this stoichiometry in eV/f.u.: 0.50
Fermi-level density of states in states/eV/atom: 0.29

[5]
An optimized crystal structure of HfNiHg. Source: the Alexandria database, functional PBE-GGA.

Cell: 13.2354 3.4235 4.7442 Å, 90.00 93.34 90.00°
With the nearest neighbours (Å) after each atom.
Space group Cm (No. 8)
Symmetry-distinct sites (fractional):
Hf1 0.0000 0.0000 0.0000 [2 per cell]  4 Ni 2.65-2.86, 4 Hg 2.87-2.93
Hf2 0.1934 0.0000 0.5071 [2 per cell]  2 Ni 2.58
Ni1 0.0470 0.5000 0.4718 [2 per cell]  4 Hf 2.58-2.86, 2 Hg 2.85
Ni2 0.3473 0.0000 0.9877 [2 per cell]  2 Hf 2.65, 4 Hg 2.80-2.92
Hg1 0.1801 0.5000 0.0023 [2 per cell]  4 Ni 2.80-2.99, 6 Hf 2.92-2.94
Hg2 0.3753 0.5000 0.4850 [2 per cell]  6 Ni 2.85-2.98, 4 Hf 2.87-2.96

Calculated values
Calculated formation energy in meV per atom: -103
Energy above the lowest structure with this stoichiometry in eV/f.u.: 0.69
Fermi-level density of states in states/eV/atom: 0.62

[6]
An optimized crystal structure of Zr3InW. Source: the Alexandria database, functional PBE-GGA.

Cell: 5.1387 5.1387 5.1387 Å, 90.00 90.00 90.00°
With the nearest neighbours (Å) after each atom.
Space group Pm-3m (No. 221)
Symmetry-distinct sites (fractional):
Zr1 0.0000 0.0000 0.5000 [3 per cell]  2 In 2.57
In1 0.0000 0.0000 0.0000 [1 per cell]  6 Zr 2.57
W1 0.5000 0.5000 0.5000 [1 per cell]  12 Zr 3.63

Calculated values
Calculated formation energy in meV per atom: 1752
Energy above the lowest structure with this stoichiometry in eV/f.u.: 5.30
Fermi-level density of states in states/eV/atom: 2.41

[7]
An optimized crystal structure of VAgTe2. Source: the Alexandria database, functional PBE-GGA.

Cell: 3.6163 3.6163 26.4103 Å, 90.00 90.00 120.00°
With the nearest neighbours (Å) after each atom.
Space group R-3m (No. 166, hexagonal axes)
Symmetry-distinct sites (fractional):
V1 0.0000 0.0000 0.0000 [3 per cell]  6 Te 2.68
Ag1 0.0000 0.0000 0.5000 [3 per cell]  2 Te 2.72
Te1 0.0000 0.0000 0.3971 [6 per cell]  3 V 2.68, 1 Ag 2.72

Calculated values
E_form (uncorrected) in eV/atom: -0.090
Fermi-level density of states in states/eV/atom: 0.50

[8]
An optimized crystal structure of Li2Ac3NbO9. Source: the Alexandria database, functional PBE-GGA.

Cell: 5.6364 5.6364 7.0570 Å, 90.00 90.00 120.00°
With the nearest neighbours (Å) after each atom.
Space group P-3m1 (No. 164)
Symmetry-distinct sites (fractional):
Li1 0.3333 0.6667 0.1862 [2 per cell]  6 O 1.95-2.09
Ac1 0.0000 0.0000 0.0000 [1 per cell]  12 O 2.82-2.84
Ac2 0.3333 0.6667 0.7018 [2 per cell]  9 O 2.66-2.83
Nb1 0.0000 0.0000 0.5000 [1 per cell]  6 O 1.99
O1 0.0000 0.5000 0.0000 [3 per cell]  2 Li 2.09
O2 0.1639 0.3278 0.3322 [6 per cell]  1 Li 1.95, 1 Nb 1.99

Calculated values
E_form (uncorrected) in eV/atom: -2.610
Fermi-level density of states in states/eV/atom: 0.63

[9]
An optimized crystal structure of Re2RuRh. Source: the Alexandria database, functional PBE-GGA.

Cell: 2.7289 3.8825 5.4701 Å, 90.00 90.00 90.00°
With the nearest neighbours (Å) after each atom.
Space group Pmmm (No. 47)
Symmetry-distinct sites (fractional):
Re1 0.0000 0.0000 0.2393 [2 per cell]  4 Re 2.62-2.85, 4 Ru 2.71, 4 Rh 2.77
Ru1 0.5000 0.5000 0.0000 [1 per cell]  8 Re 2.71, 2 Ru 2.73, 2 Rh 2.74
Rh1 0.5000 0.5000 0.5000 [1 per cell]  2 Rh 2.73, 2 Ru 2.74, 8 Re 2.77

Calculated values
Calculated formation energy in meV per atom: -35
Energy above the lowest structure with this stoichiometry in eV/f.u.: 0.45
Fermi-level density of states in states/eV/atom: 0.67

[10]
An optimized crystal structure of TmInCoNi. Source: the Alexandria database, functional PBE-GGA.

Cell: 6.4301 6.4301 6.4301 Å, 90.00 90.00 90.00°
With the nearest neighbours (Å) after each atom.
Space group F-43m (No. 216)
Symmetry-distinct sites (fractional):
Tm1 0.0000 0.0000 0.0000 [4 per cell]  4 Co 2.78, 4 Ni 2.78
In1 0.0000 0.0000 0.5000 [4 per cell]  4 Co 2.78, 4 Ni 2.78
Co1 0.2500 0.2500 0.7500 [4 per cell]  4 In 2.78, 4 Tm 2.78
Ni1 0.2500 0.2500 0.2500 [4 per cell]  4 In 2.78, 4 Tm 2.78

Calculated values
Calculated formation energy in meV per atom: -263
Fermi-level density of states in states/eV/atom: 0.67

[11]
An optimized crystal structure of CsAsI2. Source: the Alexandria database, functional PBE-GGA.

Cell: 8.7012 8.7012 8.7012 Å, 90.00 90.00 90.00°
With the nearest neighbours (Å) after each atom.
Space group Fm-3m (No. 225)
Symmetry-distinct sites (fractional):
Cs1 0.0000 0.0000 0.0000 [4 per cell]  8 I 3.77
As1 0.0000 0.0000 0.5000 [4 per cell]  8 I 3.77
I1 0.2500 0.2500 0.2500 [8 per cell]  4 As 3.77, 4 Cs 3.77

Calculated values
Energy above the lowest structure with this stoichiometry in eV/f.u.: 1.27
E_form (uncorrected) in eV/atom: -0.089
Fermi-level density of states in states/eV/atom: 2.57

[12]
An optimized crystal structure of DyAl3Zn. Source: the Alexandria database, functional PBE-GGA.

Cell: 4.1379 4.1379 11.1183 Å, 90.00 90.00 90.00°
With the nearest neighbours (Å) after each atom.
Space group I4mm (No. 107)
Symmetry-distinct sites (fractional):
Dy1 0.0000 0.0000 0.0000 [2 per cell]  12 Al 3.16-3.51, 4 Zn 3.17
Al1 0.0000 0.0000 0.6070 [2 per cell]  1 Zn 2.41, 4 Al 2.64
Al2 0.0000 0.5000 0.2547 [4 per cell]  2 Zn 2.56, 2 Al 2.64
Zn1 0.0000 0.0000 0.3905 [2 per cell]  5 Al 2.41-2.56

Calculated values
Calculated formation energy in meV per atom: -333
Fermi-level density of states in states/eV/atom: 0.41

Which formula does entry 6 have?
Zr3InW